Below is a relaxed Ca2AgSnAu6 crystal, with properties calculated at the GGA-PBE level.

Calculated density in g cm⁻³: 9.026
Total magnetic moment in μB/f.u.: 0.00
Total energy in eV/atom: -3.108
Energy relative to the elements in eV/atom: -0.056
V in Å³ per cell: 273.86

a b c (Å): 7.2892 7.2892 7.2892
angles (deg): 60.00 60.00 60.00
Closest atoms and distances in Å follow each position.
Sites, in units of the cell vectors:
Ca1 0.2500 0.2500 0.2500  12 Au 3.64
Ca2 0.7500 0.7500 0.7500  12 Au 3.64
Ag1 0.0000 0.0000 0.0000  6 Au 2.56
Sn1 0.5000 0.5000 0.5000  6 Au 2.59
Au1 0.2486 0.2486 0.7514  1 Ag 2.56, 1 Sn 2.59
Au2 0.2486 0.7514 0.2486  1 Ag 2.56, 1 Sn 2.59
Au3 0.2486 0.7514 0.7514  1 Ag 2.56, 1 Sn 2.59
Au4 0.7514 0.2486 0.2486  1 Ag 2.56, 1 Sn 2.59
Au5 0.7514 0.2486 0.7514  1 Ag 2.56, 1 Sn 2.59
Au6 0.7514 0.7514 0.2486  1 Ag 2.56, 1 Sn 2.59